Below is a relaxed structure of Hf8SN2, with properties calculated at the PBE level.

Geometry as CIF:
```
data_Hf8SN2
_symmetry_space_group_name_H-M 'C 1 2/m 1'
_symmetry_Int_Tables_number 12
_cell_length_a 10.303
_cell_length_b 7.992
_cell_length_c 4.897
_cell_angle_alpha 90.00
_cell_angle_beta 91.90
_cell_angle_gamma 90.00
loop_
_symmetry_equiv_pos_as_xyz
'x,y,z'
'-x,-y,-z'
'-x,y,-z'
'x,-y,z'
'x+1/2,y+1/2,z'
'-x+1/2,-y+1/2,-z'
'-x+1/2,y+1/2,-z'
'x+1/2,-y+1/2,z'
loop_
_atom_site_label
_atom_site_type_symbol
_atom_site_fract_x
_atom_site_fract_y
_atom_site_fract_z
Hf1 Hf 0.108 0.000 0.259
Hf2 Hf 0.117 0.274 0.744
Hf3 Hf 0.183 0.500 0.212
S1 S 0.000 0.500 0.500
N1 N 0.109 0.000 0.762
```

E_form (uncorrected) ... -9.19 eV/f.u.
Relative energy among the computed polymorphs ... 0.0 meV per atom